Record 1
The following is a PBE calculation of crystalline Sr2CaMo at its relaxed geometry, from the Alexandria database.

The calculation puts the formation energy from the elements at 314 kJ/mol of formula units. The calculated volume is 35.9 A^3/atom. The value obtained for the density is 3.6 Mg/m³. The density of states at the Fermi level comes out at 0.93 states/eV per atom. As for the space group: R3m. The spin magnetization comes out at 6.1 μB/cell. The calculation puts the total energy at -3.24 eV/atom. As for the relative energy among the computed polymorphs: 0.129 eV per atom.

a b c (Å): 3.7603 3.7603 35.2045
angles (deg): 90.00 90.00 120.00
Positions (direct):
1 Sr 0.0000 0.0000 0.0000
2 Sr 0.0000 0.0000 0.2289
3 Sr 0.3333 0.6667 0.6667
4 Sr 0.3333 0.6667 0.8955
5 Sr 0.6667 0.3333 0.3333
6 Sr 0.6667 0.3333 0.5622
7 Ca 0.0000 0.0000 0.7662
8 Ca 0.3333 0.6667 0.4329
9 Ca 0.6667 0.3333 0.0996
10 Mo 0.0000 0.0000 0.4954
11 Mo 0.3333 0.6667 0.1621
12 Mo 0.6667 0.3333 0.8287


Record 2
The following is a PBE calculation of crystalline Sr2CaMo at its relaxed geometry, from the Alexandria database.

The calculation puts the formation energy from the elements at 308 kJ/mol of formula units. The calculated volume is 34.5 A^3/atom. The value obtained for the density is 3.8 Mg/m³. The density of states at the Fermi level comes out at 0.90 states/eV per atom. As for the space group: F-43m. The spin magnetization comes out at 11.1 μB/cell. The calculation puts the total energy at -3.25 eV/atom. As for the relative energy among the computed polymorphs: 0.114 eV per atom.

a b c (Å): 8.1994 8.1994 8.1994
angles (deg): 90.00 90.00 90.00
Positions (direct):
1 Sr 0.0000 0.0000 0.0000
2 Sr 0.0000 0.5000 0.5000
3 Sr 0.2500 0.2500 0.2500
4 Sr 0.2500 0.7500 0.7500
5 Sr 0.5000 0.0000 0.5000
6 Sr 0.5000 0.5000 0.0000
7 Sr 0.7500 0.2500 0.7500
8 Sr 0.7500 0.7500 0.2500
9 Ca 0.0000 0.0000 0.5000
10 Ca 0.0000 0.5000 0.0000
11 Ca 0.5000 0.0000 0.0000
12 Ca 0.5000 0.5000 0.5000
13 Mo 0.2500 0.2500 0.7500
14 Mo 0.2500 0.7500 0.2500
15 Mo 0.7500 0.2500 0.2500
16 Mo 0.7500 0.7500 0.7500


Record 3
The following is a PBE calculation of crystalline SrCa3Mo at its relaxed geometry, from the Alexandria database.

The calculation puts the formation energy from the elements at 282 kJ/mol of formula units. The calculated volume is 38.4 A^3/atom. The value obtained for the density is 2.6 Mg/m³. The density of states at the Fermi level comes out at 0.52 states/eV per atom. As for the space group: Pm-3m. The spin magnetization comes out at 1.8 μB/cell. The calculation puts the total energy at -3.12 eV/atom. As for the relative energy among the computed polymorphs: 0.000 eV per atom.

a b c (Å): 5.7665 5.7665 5.7665
angles (deg): 90.00 90.00 90.00
Positions (direct):
1 Sr 0.0000 0.0000 0.0000
2 Ca 0.0000 0.5000 0.5000
3 Ca 0.5000 0.0000 0.5000
4 Ca 0.5000 0.5000 0.0000
5 Mo 0.5000 0.5000 0.5000


- The highest density belongs to which entry?
  number 2


Repeat the second record exactly.
The following is a PBE calculation of crystalline Sr2CaMo at its relaxed geometry, from the Alexandria database.

The calculation puts the formation energy from the elements at 308 kJ/mol of formula units. The calculated volume is 34.5 A^3/atom. The value obtained for the density is 3.8 Mg/m³. The density of states at the Fermi level comes out at 0.90 states/eV per atom. As for the space group: F-43m. The spin magnetization comes out at 11.1 μB/cell. The calculation puts the total energy at -3.25 eV/atom. As for the relative energy among the computed polymorphs: 0.114 eV per atom.

a b c (Å): 8.1994 8.1994 8.1994
angles (deg): 90.00 90.00 90.00
Positions (direct):
1 Sr 0.0000 0.0000 0.0000
2 Sr 0.0000 0.5000 0.5000
3 Sr 0.2500 0.2500 0.2500
4 Sr 0.2500 0.7500 0.7500
5 Sr 0.5000 0.0000 0.5000
6 Sr 0.5000 0.5000 0.0000
7 Sr 0.7500 0.2500 0.7500
8 Sr 0.7500 0.7500 0.2500
9 Ca 0.0000 0.0000 0.5000
10 Ca 0.0000 0.5000 0.0000
11 Ca 0.5000 0.0000 0.0000
12 Ca 0.5000 0.5000 0.5000
13 Mo 0.2500 0.2500 0.7500
14 Mo 0.2500 0.7500 0.2500
15 Mo 0.7500 0.2500 0.2500
16 Mo 0.7500 0.7500 0.7500


- The lowest formation energy from the elements belongs to which entry?
  SrCa3Mo